K2ZrNi | PBE | relaxed

Calculated values
DFT formation energy: 0.477 eV/atom
Final energy: -3.654 eV per atom
V: 37.83 Å³/atom
Polymorph energy (0 for the lowest one): 0.166 eV/atom

Lattice parameters (Å, degrees): 4.653 4.653 10.294 78.22 78.22 44.13
Positions (direct):
K (0.842, 0.842, 0.663)
Zr (0.185, 0.185, 0.375)
K (0.992, 0.992, 0.087)
Ni (0.481, 0.481, 0.375)

K2ZrNi | PBE | relaxed

Calculated values
DFT formation energy: 1.039 eV/atom
Final energy: -3.092 eV per atom
V: 27.07 Å³/atom
Polymorph energy (0 for the lowest one): 0.727 eV/atom

Lattice parameters (Å, degrees): 6.754 6.754 3.063 90.00 90.00 129.18
Site moments in Bohr magnetons follow the coordinates.
Positions (direct):
Zr (0.000, 0.500, 0.500)  0.21
K (0.000, 0.000, 0.000)  0.02
K (0.500, 0.500, 0.000)  0.02
Ni (0.500, 0.000, 0.500)  -0.06

Going through the records in order, we get DOS(E_F) values of 1.62, 0.77 states/eV/atom.